1.
DFT (PBE-GGA) results for MgBeCr2 after structural relaxation.

Geometry as CIF:
```
data_MgBeCr2
_symmetry_space_group_name_H-M 'P 1 2/m 1'
_symmetry_Int_Tables_number 10
_symmetry_space_group_name_Hall '-P 2y'
_cell_length_a 2.4873
_cell_length_b 4.0877
_cell_length_c 5.0026
_cell_angle_alpha 90.00
_cell_angle_beta 99.75
_cell_angle_gamma 90.00
loop_
_atom_site_label
_atom_site_fract_x
_atom_site_fract_y
_atom_site_fract_z
Mg1 0.0000 0.0000 0.0000
Be1 0.0000 0.0000 0.5000
Cr1 0.4673 0.5000 0.7131
```

Calculated values
formation energy: 0.4115 eV per atom
E above lowest polymorph: 192.0 meV/atom

2.
DFT (PBE-GGA) results for MgBe3Cr after structural relaxation.

Geometry as CIF:
```
data_MgBe3Cr
_symmetry_space_group_name_H-M 'P m -3 m'
_symmetry_Int_Tables_number 221
_symmetry_space_group_name_Hall '-P 4 2 3'
_cell_length_a 4.1080
_cell_length_b 4.1080
_cell_length_c 4.1080
_cell_angle_alpha 90.00
_cell_angle_beta 90.00
_cell_angle_gamma 90.00
loop_
_atom_site_label
_atom_site_fract_x
_atom_site_fract_y
_atom_site_fract_z
Mg1 0.0000 0.0000 0.0000
Be1 0.0000 0.0000 0.5000
Cr1 0.5000 0.5000 0.5000
```

Calculated values
formation energy: 1.8101 eV per atom
E above lowest polymorph: 792.0 meV/atom

3.
DFT (PBE-GGA) results for MgBeCr2 after structural relaxation.

Geometry as CIF:
```
data_MgBeCr2
_symmetry_space_group_name_H-M 'P 4/m m m'
_symmetry_Int_Tables_number 123
_symmetry_space_group_name_Hall '-P 4 2'
_cell_length_a 3.4471
_cell_length_b 3.4471
_cell_length_c 4.1319
_cell_angle_alpha 90.00
_cell_angle_beta 90.00
_cell_angle_gamma 90.00
loop_
_atom_site_label
_atom_site_fract_x
_atom_site_fract_y
_atom_site_fract_z
Mg1 0.0000 0.0000 0.0000
Be1 0.5000 0.5000 0.0000
Cr1 0.0000 0.5000 0.5000
```

Calculated values
formation energy: 0.4185 eV per atom
E above lowest polymorph: 198.9 meV/atom

4.
DFT (PBE-GGA) results for MgBe2Cr after structural relaxation.

Geometry as CIF:
```
data_MgBe2Cr
_symmetry_space_group_name_H-M 'I m m 2'
_symmetry_Int_Tables_number 44
_symmetry_space_group_name_Hall 'I 2 -2'
_cell_length_a 2.5934
_cell_length_b 4.1861
_cell_length_c 8.4691
_cell_angle_alpha 90.00
_cell_angle_beta 90.00
_cell_angle_gamma 90.00
loop_
_atom_site_label
_atom_site_fract_x
_atom_site_fract_y
_atom_site_fract_z
Mg1 0.0000 0.0000 0.0000
Be1 0.0000 0.0000 0.5354
Be2 0.0000 0.5000 0.2426
Cr1 0.0000 0.5000 0.7840
```

Calculated values
formation energy: 0.3601 eV per atom

Q: The highest formation energy belongs to which entry?
A: MgBe3Cr

Q: Which value of formation energy does entry 3 give?
A: 0.4185 eV per atom

Q: What is the formation energy in the fourth record?
A: 0.3601 eV per atom